(1)
# TbPr2Mg8

A relaxed TbPr2Mg8 crystal (PBE, the Alexandria database).

Unit cell a=5.2743 b=7.4515 c=8.8985 alpha=114.75 beta=107.24 gamma=90.00
With the nearest neighbours (Å) after each atom.
Element x y z (fractional)
Tb  0.5000  0.0000  0.0000  8 Mg 3.05-3.37
Pr  0.1992  0.6992  0.3984  10 Mg 3.19-3.45
Pr  0.8008  0.3008  0.6016  10 Mg 3.19-3.45
Mg  0.6408  0.8502  0.2816  1 Tb 3.05, 3 Mg 3.12-3.40, 3 Pr 3.19-3.27
Mg  0.3592  0.5686  0.7184  1 Tb 3.05, 3 Mg 3.12-3.40, 3 Pr 3.19-3.27
Mg  0.1578  0.1578  0.3156  8 Mg 3.20-3.45, 2 Pr 3.42, 2 Tb 3.57
Mg  0.0000  0.2826  0.0000  7 Mg 3.20-3.40, 2 Tb 3.37, 2 Pr 3.45
Mg  0.8422  0.8422  0.6844  8 Mg 3.20-3.45, 2 Pr 3.42, 2 Tb 3.57
Mg  0.6408  0.4314  0.2816  1 Tb 3.05, 3 Mg 3.12-3.40, 3 Pr 3.19-3.27
Mg  0.3592  0.1498  0.7184  1 Tb 3.05, 3 Mg 3.12-3.40, 3 Pr 3.19-3.27
Mg  0.0000  0.7174  0.0000  7 Mg 3.20-3.40, 2 Tb 3.37, 2 Pr 3.45

Summary:
E_tot   -2.425 eV/atom
SG   Immm
Density of states at the Fermi level   8.070 states/eV per cell
Size of the total moment   0.0 Bohr magnetons per cell

=====

(2)
# Tb2PrMg

A relaxed Tb2PrMg crystal (PBE, the Alexandria database).

Unit cell a=3.6961 b=3.6961 c=9.0380 alpha=90.00 beta=90.00 gamma=90.00
With the nearest neighbours (Å) after each atom.
Element x y z (fractional)
Pr  0.5000  0.5000  0.5000  8 Tb 3.62, 4 Pr 3.70
Mg  0.5000  0.5000  0.0000  8 Tb 3.30
Tb  0.0000  0.0000  0.7779  4 Mg 3.30, 4 Pr 3.62
Tb  0.0000  0.0000  0.2221  4 Mg 3.30, 4 Pr 3.62

Summary:
E_tot   -3.936 eV/atom
SG   P4/mmm
Density of states at the Fermi level   5.437 states/eV per cell
Size of the total moment   0.0 Bohr magnetons per cell

=====

(3)
# Tb2Pr2Mg

A relaxed Tb2Pr2Mg crystal (PBE, the Alexandria database).

Unit cell a=4.4475 b=4.4475 c=9.4254 alpha=103.65 beta=103.65 gamma=90.00
With the nearest neighbours (Å) after each atom.
Element x y z (fractional)
Tb  0.7500  0.2500  0.5000  4 Tb 3.14
Tb  0.2500  0.7500  0.5000  4 Tb 3.14
Pr  0.4078  0.4078  0.8156  1 Pr 3.28, 4 Mg 3.55, 4 Tb 3.58
Pr  0.5922  0.5922  0.1844  1 Pr 3.28, 4 Mg 3.55, 4 Tb 3.58
Mg  0.0000  0.0000  0.0000  8 Pr 3.55

Summary:
E_tot   -3.737 eV/atom
SG   I4/mmm
Density of states at the Fermi level   7.162 states/eV per cell
Size of the total moment   0.0 Bohr magnetons per cell

=====

(4)
# Tb2PrMg

A relaxed Tb2PrMg crystal (PBE, the Alexandria database).

Unit cell a=5.5824 b=5.5824 c=5.5824 alpha=60.00 beta=60.00 gamma=60.00
With the nearest neighbours (Å) after each atom.
Element x y z (fractional)
Pr  0.0000  0.0000  0.0000  8 Tb 3.42
Mg  0.5000  0.5000  0.5000  8 Tb 3.42
Tb  0.2500  0.2500  0.2500  4 Pr 3.42, 4 Mg 3.42
Tb  0.7500  0.7500  0.7500  4 Pr 3.42, 4 Mg 3.42

Summary:
E_tot   -3.822 eV/atom
SG   Fm-3m
Density of states at the Fermi level   5.731 states/eV per cell
Size of the total moment   0.0 Bohr magnetons per cell

=====

(5)
# Tb2PrMg2

A relaxed Tb2PrMg2 crystal (PBE, the Alexandria database).

Unit cell a=3.7943 b=5.5299 c=14.1625 alpha=90.00 beta=97.72 gamma=90.00
With the nearest neighbours (Å) after each atom.
Element x y z (fractional)
Tb  0.0452  0.7500  0.0899  8 Mg 3.28-3.36
Tb  0.9548  0.2500  0.9101  8 Mg 3.28-3.36
Tb  0.2372  0.7500  0.4750  2 Mg 3.32, 4 Tb 3.42-3.43, 4 Pr 3.68-3.70
Tb  0.7628  0.2500  0.5250  2 Mg 3.32, 4 Tb 3.42-3.43, 4 Pr 3.68-3.70
Pr  0.8489  0.7500  0.7002  6 Mg 3.36-3.38, 4 Tb 3.68-3.70
Pr  0.1511  0.2500  0.2998  6 Mg 3.36-3.38, 4 Tb 3.68-3.70
Mg  0.6408  0.7500  0.2807  4 Tb 3.28-3.32, 4 Pr 3.36-3.37
Mg  0.3592  0.2500  0.7193  4 Tb 3.28-3.32, 4 Pr 3.36-3.37
Mg  0.4499  0.7500  0.8990  6 Tb 3.28-3.36, 2 Pr 3.37-3.38
Mg  0.5501  0.2500  0.1010  6 Tb 3.28-3.36, 2 Pr 3.37-3.38

Summary:
E_tot   -3.518 eV/atom
SG   P2_1/m
Density of states at the Fermi level   11.098 states/eV per cell
Size of the total moment   0.0 Bohr magnetons per cell

=====

(6)
# Tb6PrMg

A relaxed Tb6PrMg crystal (PBE, the Alexandria database).

Unit cell a=5.0337 b=6.1454 c=9.3352 alpha=76.71 beta=74.36 gamma=65.82
With the nearest neighbours (Å) after each atom.
Element x y z (fractional)
Tb  0.2490  0.8721  0.6299  1 Mg 3.50, 8 Tb 3.53-3.60, 3 Pr 3.55-3.57
Tb  0.5031  0.2417  0.7522  2 Mg 3.51, 8 Tb 3.53-3.58, 2 Pr 3.56
Tb  0.2447  0.3885  0.1221  3 Mg 3.45-3.60, 8 Tb 3.46-3.56, 1 Pr 3.54
Tb  0.4969  0.7583  0.2478  2 Mg 3.51, 8 Tb 3.53-3.58, 2 Pr 3.56
Tb  0.7510  0.1279  0.3701  1 Mg 3.50, 8 Tb 3.53-3.60, 3 Pr 3.55-3.57
Tb  0.7553  0.6115  0.8779  3 Mg 3.45-3.60, 8 Tb 3.46-3.56, 1 Pr 3.54
Pr  0.0000  0.5000  0.5000  12 Tb 3.54-3.57
Mg  0.0000  0.0000  0.0000  12 Tb 3.45-3.60

Summary:
E_tot   -4.242 eV/atom
SG   C2/m
Density of states at the Fermi level   12.069 states/eV per cell
Size of the total moment   0.0 Bohr magnetons per cell